# 1
{"formula": "Cs2UHgS4", "functional": "PBE", "state": "optimized geometry", "lattice": [[0.000, 8.067, 13.251], [3.195, 0.000, 13.251], [3.195, 8.067, 0.000]], "species": ["Cs", "Cs", "Cs", "Cs", "U", "U", "Hg", "Hg", "S", "S", "S", "S", "S", "S", "S", "S"], "frac_coords": [[0.051, 0.051, 0.699], [0.301, 0.301, 0.949], [0.699, 0.699, 0.051], [0.949, 0.949, 0.301], [0.125, 0.125, 0.125], [0.875, 0.875, 0.875], [0.375, 0.375, 0.375], [0.625, 0.625, 0.625], [0.138, 0.232, 0.314], [0.183, 0.686, 0.768], [0.232, 0.138, 0.817], [0.314, 0.817, 0.138], [0.686, 0.183, 0.862], [0.768, 0.862, 0.183], [0.817, 0.314, 0.232], [0.862, 0.768, 0.686]], "total_energy_ev_per_atom": -4.630, "raw_formation_energy_ev_per_atom": -0.90, "total_magnetization_mub_per_fu": 0.000, "density_g_cm3": 4.048}

# 2
{"formula": "GaFe3Ir", "functional": "PBE", "state": "optimized geometry", "lattice": [[6.644, 0.000, 0.000], [0.000, 7.382, 0.000], [-3.274, 0.000, 3.667]], "species": ["Ga", "Ga", "Fe", "Fe", "Fe", "Fe", "Fe", "Fe", "Ir", "Ir"], "frac_coords": [[0.000, 0.000, 0.000], [0.500, 0.500, 0.000], [0.000, 0.500, 0.000], [0.250, 0.250, 0.500], [0.250, 0.750, 0.500], [0.500, 0.000, 0.000], [0.750, 0.250, 0.500], [0.750, 0.750, 0.500], [0.000, 0.000, 0.500], [0.500, 0.500, 0.500]], "total_energy_ev_per_atom": -6.804, "total_magnetization_mub_per_fu": 9.268, "density_g_cm3": 7.931}

# 3
{"formula": "Y2Br2Cl", "functional": "PBE", "state": "optimized geometry", "lattice": [[10.538, -1.950, 0.000], [10.538, 1.950, 0.000], [-1.234, 0.000, 8.149]], "species": ["Y", "Y", "Y", "Y", "Br", "Br", "Br", "Br", "Cl", "Cl"], "frac_coords": [[0.181, 0.181, 0.305], [0.318, 0.318, 0.087], [0.682, 0.682, 0.913], [0.819, 0.819, 0.695], [0.090, 0.090, 0.777], [0.410, 0.410, 0.830], [0.590, 0.590, 0.170], [0.910, 0.910, 0.223], [0.309, 0.309, 0.446], [0.691, 0.691, 0.554]], "total_energy_ev_per_atom": -5.158, "raw_formation_energy_ev_per_atom": -1.53, "total_magnetization_mub_per_fu": 0.293, "density_g_cm3": 3.700}

# 4
{"formula": "BeSn3C", "functional": "PBE", "state": "optimized geometry", "lattice": [[4.700, 0.000, 0.000], [0.000, 4.700, 0.000], [0.000, 0.000, 4.700]], "species": ["Be", "Sn", "Sn", "Sn", "C"], "frac_coords": [[0.000, 0.000, 0.000], [0.000, 0.500, 0.500], [0.500, 0.000, 0.500], [0.500, 0.500, 0.000], [0.500, 0.500, 0.500]], "total_energy_ev_per_atom": -3.828, "total_magnetization_mub_per_fu": 0.000, "density_g_cm3": 6.033}

# 5
{"formula": "CrAgS2", "functional": "PBE", "state": "optimized geometry", "lattice": [[5.681, 0.000, 0.000], [0.000, 5.681, 0.000], [0.000, 0.000, 10.611]], "species": ["Cr", "Cr", "Cr", "Cr", "Ag", "Ag", "Ag", "Ag", "S", "S", "S", "S", "S", "S", "S", "S"], "frac_coords": [[0.000, 0.000, 0.000], [0.000, 0.500, 0.250], [0.500, 0.000, 0.750], [0.500, 0.500, 0.500], [0.000, 0.000, 0.500], [0.000, 0.500, 0.750], [0.500, 0.000, 0.250], [0.500, 0.500, 0.000], [0.208, 0.250, 0.125], [0.250, 0.708, 0.375], [0.250, 0.792, 0.875], [0.292, 0.250, 0.625], [0.708, 0.750, 0.625], [0.750, 0.208, 0.875], [0.750, 0.292, 0.375], [0.792, 0.750, 0.125]], "total_energy_ev_per_atom": -5.501, "raw_formation_energy_ev_per_atom": -0.32, "total_magnetization_mub_per_fu": 3.000, "density_g_cm3": 4.344}

# 6
{"formula": "CeRh3S4", "functional": "PBE", "state": "optimized geometry", "lattice": [[6.579, 0.000, 0.000], [0.000, 6.579, 0.000], [0.000, 0.000, 6.579]], "species": ["Ce", "Ce", "Rh", "Rh", "Rh", "Rh", "Rh", "Rh", "S", "S", "S", "S", "S", "S", "S", "S"], "frac_coords": [[0.000, 0.000, 0.000], [0.500, 0.500, 0.500], [0.000, 0.250, 0.500], [0.000, 0.750, 0.500], [0.250, 0.500, 0.000], [0.500, 0.000, 0.250], [0.500, 0.000, 0.750], [0.750, 0.500, 0.000], [0.250, 0.250, 0.250], [0.250, 0.250, 0.750], [0.250, 0.750, 0.250], [0.250, 0.750, 0.750], [0.750, 0.250, 0.250], [0.750, 0.250, 0.750], [0.750, 0.750, 0.250], [0.750, 0.750, 0.750]], "total_energy_ev_per_atom": -6.485, "raw_formation_energy_ev_per_atom": -0.92, "total_magnetization_mub_per_fu": 0.000, "density_g_cm3": 6.731}

# 7
{"formula": "CePm2Sm12", "functional": "PBE", "state": "optimized geometry", "lattice": [[3.560, -5.780, 0.000], [3.560, 5.780, 0.000], [0.000, 0.000, 24.980]], "species": ["Ce", "Ce", "Pm", "Pm", "Pm", "Pm", "Sm", "Sm", "Sm", "Sm", "Sm", "Sm", "Sm", "Sm", "Sm", "Sm", "Sm", "Sm", "Sm", "Sm", "Sm", "Sm", "Sm", "Sm", "Sm", "Sm", "Sm", "Sm", "Sm", "Sm"], "frac_coords": [[0.250, 0.750, 0.999], [0.750, 0.250, 0.001], [0.250, 0.750, 0.266], [0.250, 0.750, 0.728], [0.750, 0.250, 0.272], [0.750, 0.250, 0.734], [0.001, 0.501, 0.873], [0.002, 0.998, 0.074], [0.018, 0.518, 0.417], [0.023, 0.977, 0.560], [0.250, 0.250, 0.199], [0.250, 0.250, 0.326], [0.250, 0.250, 0.674], [0.250, 0.250, 0.801], [0.477, 0.523, 0.560], [0.482, 0.982, 0.417], [0.498, 0.502, 0.074], [0.499, 0.999, 0.873], [0.501, 0.001, 0.127], [0.502, 0.498, 0.926], [0.518, 0.018, 0.583], [0.523, 0.477, 0.440], [0.750, 0.750, 0.199], [0.750, 0.750, 0.326], [0.750, 0.750, 0.674], [0.750, 0.750, 0.801], [0.977, 0.023, 0.440], [0.982, 0.482, 0.583], [0.998, 0.002, 0.926], [0.999, 0.499, 0.127]], "total_energy_ev_per_atom": -4.633, "total_magnetization_mub_per_fu": 1.452, "density_g_cm3": 7.217}

# 8
{"formula": "La2Ho6Tm5", "functional": "PBE", "state": "optimized geometry", "lattice": [[11.676, 0.000, 0.000], [0.000, 20.084, 0.000], [0.000, 0.000, 3.571]], "species": ["La", "La", "La", "La", "Ho", "Ho", "Ho", "Ho", "Ho", "Ho", "Ho", "Ho", "Ho", "Ho", "Ho", "Ho", "Tm", "Tm", "Tm", "Tm", "Tm", "Tm", "Tm", "Tm", "Tm", "Tm"], "frac_coords": [[0.165, 0.220, 0.000], [0.335, 0.720, 0.000], [0.665, 0.280, 0.000], [0.835, 0.780, 0.000], [0.059, 0.924, 0.000], [0.078, 0.637, 0.000], [0.180, 0.379, 0.500], [0.320, 0.879, 0.500], [0.422, 0.137, 0.000], [0.441, 0.424, 0.000], [0.559, 0.576, 0.000], [0.578, 0.863, 0.000], [0.680, 0.121, 0.500], [0.820, 0.621, 0.500], [0.922, 0.363, 0.000], [0.941, 0.076, 0.000], [0.000, 0.500, 0.500], [0.097, 0.781, 0.500], [0.200, 0.052, 0.500], [0.300, 0.552, 0.500], [0.403, 0.281, 0.500], [0.500, 0.000, 0.500], [0.597, 0.719, 0.500], [0.700, 0.448, 0.500], [0.800, 0.948, 0.500], [0.903, 0.219, 0.500]], "total_energy_ev_per_atom": -4.485, "total_magnetization_mub_per_fu": 0.000, "density_g_cm3": 8.376}

# 9
{"formula": "TbSm2Tm4Th", "functional": "PBE", "state": "optimized geometry", "lattice": [[5.042, 0.000, 0.000], [0.000, 5.057, 0.000], [-0.007, 0.000, 9.874]], "species": ["Tb", "Sm", "Sm", "Tm", "Tm", "Tm", "Tm", "Th"], "frac_coords": [[0.000, 0.000, 0.000], [0.000, 0.000, 0.500], [0.500, 0.500, 0.000], [0.000, 0.500, 0.253], [0.000, 0.500, 0.747], [0.500, 0.000, 0.253], [0.500, 0.000, 0.747], [0.500, 0.500, 0.500]], "total_energy_ev_per_atom": -4.892, "total_magnetization_mub_per_fu": 0.000, "density_g_cm3": 9.019}

# 10
{"formula": "Dy2TlFe", "functional": "PBE", "state": "optimized geometry", "lattice": [[3.351, 0.000, 0.000], [0.000, 3.351, 0.000], [0.000, 0.000, 8.215]], "species": ["Dy", "Dy", "Tl", "Fe"], "frac_coords": [[0.000, 0.000, 0.197], [0.000, 0.000, 0.803], [0.500, 0.500, 0.500], [0.500, 0.500, 0.000]], "total_energy_ev_per_atom": -5.118, "total_magnetization_mub_per_fu": 0.000, "density_g_cm3": 10.535}

# 11
{"formula": "KBaSi2", "functional": "PBE", "state": "optimized geometry", "lattice": [[7.906, 0.000, 0.000], [0.000, 7.906, 0.000], [0.000, 0.000, 7.906]], "species": ["K", "K", "K", "K", "Ba", "Ba", "Ba", "Ba", "Si", "Si", "Si", "Si", "Si", "Si", "Si", "Si"], "frac_coords": [[0.000, 0.000, 0.000], [0.000, 0.500, 0.500], [0.500, 0.000, 0.500], [0.500, 0.500, 0.000], [0.000, 0.000, 0.500], [0.000, 0.500, 0.000], [0.500, 0.000, 0.000], [0.500, 0.500, 0.500], [0.250, 0.250, 0.250], [0.250, 0.250, 0.750], [0.250, 0.750, 0.250], [0.250, 0.750, 0.750], [0.750, 0.250, 0.250], [0.750, 0.250, 0.750], [0.750, 0.750, 0.250], [0.750, 0.750, 0.750]], "total_energy_ev_per_atom": -3.129, "raw_formation_energy_ev_per_atom": 0.34, "total_magnetization_mub_per_fu": 0.000, "density_g_cm3": 3.127}

# 12
{"formula": "KCu2HgC", "functional": "PBE", "state": "optimized geometry", "lattice": [[4.073, 0.000, 0.000], [0.000, 4.073, 0.000], [0.000, 0.000, 5.680]], "species": ["K", "Cu", "Cu", "Hg", "C"], "frac_coords": [[0.000, 0.000, 0.000], [0.000, 0.500, 0.500], [0.500, 0.000, 0.500], [0.500, 0.500, 0.000], [0.000, 0.000, 0.500]], "total_energy_ev_per_atom": -3.070, "total_magnetization_mub_per_fu": 0.000, "density_g_cm3": 6.676}

# 13
{"formula": "LiPr3Sn3", "functional": "PBE", "state": "optimized geometry", "lattice": [[5.880, -2.362, 0.000], [5.880, 2.362, 0.000], [-5.197, 0.000, 14.441]], "species": ["Li", "Li", "Pr", "Pr", "Pr", "Pr", "Pr", "Pr", "Sn", "Sn", "Sn", "Sn", "Sn", "Sn"], "frac_coords": [[0.242, 0.242, 0.402], [0.758, 0.758, 0.598], [0.255, 0.255, 0.777], [0.404, 0.404, 0.079], [0.462, 0.462, 0.615], [0.538, 0.538, 0.385], [0.596, 0.596, 0.921], [0.745, 0.745, 0.223], [0.035, 0.035, 0.236], [0.126, 0.126, 0.075], [0.133, 0.133, 0.551], [0.867, 0.867, 0.449], [0.874, 0.874, 0.925], [0.965, 0.965, 0.764]], "total_energy_ev_per_atom": -4.747, "total_magnetization_mub_per_fu": 0.000, "density_g_cm3": 6.507}

# 14
{"formula": "Tb3YSc6", "functional": "PBE", "state": "optimized geometry", "lattice": [[5.800, -7.826, 0.000], [5.800, 7.826, 0.000], [0.000, 0.000, 6.129]], "species": ["Tb", "Tb", "Tb", "Tb", "Tb", "Tb", "Y", "Y", "Sc", "Sc", "Sc", "Sc", "Sc", "Sc", "Sc", "Sc", "Sc", "Sc", "Sc", "Sc"], "frac_coords": [[0.095, 0.905, 0.500], [0.219, 0.376, 0.982], [0.376, 0.219, 0.482], [0.624, 0.781, 0.982], [0.781, 0.624, 0.482], [0.905, 0.095, 0.000], [0.299, 0.701, 0.685], [0.701, 0.299, 0.185], [0.042, 0.523, 0.355], [0.046, 0.238, 0.503], [0.238, 0.046, 0.003], [0.259, 0.741, 0.142], [0.450, 0.550, 0.345], [0.477, 0.958, 0.355], [0.523, 0.042, 0.855], [0.550, 0.450, 0.845], [0.741, 0.259, 0.642], [0.762, 0.954, 0.503], [0.954, 0.762, 0.003], [0.958, 0.477, 0.855]], "total_energy_ev_per_atom": -5.650, "total_magnetization_mub_per_fu": 0.001, "density_g_cm3": 4.986}

# 15
{"formula": "Hf3CdRu", "functional": "PBE", "state": "optimized geometry", "lattice": [[4.978, 0.000, 0.000], [0.000, 4.978, 0.000], [0.000, 0.000, 4.978]], "species": ["Hf", "Hf", "Hf", "Cd", "Ru"], "frac_coords": [[0.000, 0.000, 0.500], [0.000, 0.500, 0.000], [0.500, 0.000, 0.000], [0.500, 0.500, 0.500], [0.000, 0.000, 0.000]], "total_energy_ev_per_atom": -7.703, "total_magnetization_mub_per_fu": 0.000, "density_g_cm3": 10.082}

# 16
{"formula": "YAl2Tc2B", "functional": "PBE", "state": "optimized geometry", "lattice": [[4.257, 0.000, 0.000], [0.000, 4.257, 0.000], [0.000, 0.000, 5.472]], "species": ["Y", "Al", "Al", "Tc", "Tc", "B"], "frac_coords": [[0.000, 0.000, 0.000], [0.500, 0.500, 0.238], [0.500, 0.500, 0.762], [0.000, 0.500, 0.500], [0.500, 0.000, 0.500], [0.000, 0.000, 0.500]], "total_energy_ev_per_atom": -7.359, "total_magnetization_mub_per_fu": 0.000, "density_g_cm3": 5.855}

# 17
{"formula": "ScMn2Ni", "functional": "PBE", "state": "optimized geometry", "lattice": [[2.857, 0.000, 0.000], [-1.428, 2.474, 0.000], [0.000, 0.000, 24.579]], "species": ["Sc", "Sc", "Sc", "Mn", "Mn", "Mn", "Mn", "Mn", "Mn", "Ni", "Ni", "Ni"], "frac_coords": [[0.000, 0.000, 0.000], [0.333, 0.667, 0.667], [0.667, 0.333, 0.333], [0.000, 0.000, 0.241], [0.000, 0.000, 0.498], [0.333, 0.667, 0.164], [0.333, 0.667, 0.908], [0.667, 0.333, 0.574], [0.667, 0.333, 0.831], [0.000, 0.000, 0.754], [0.333, 0.667, 0.420], [0.667, 0.333, 0.087]], "total_energy_ev_per_atom": -7.398, "total_magnetization_mub_per_fu": 1.047, "density_g_cm3": 6.124}

# 18
{"formula": "HfTl3Cr", "functional": "PBE", "state": "optimized geometry", "lattice": [[5.556, 0.000, 0.000], [0.000, 5.556, 0.000], [0.000, 0.000, 5.556]], "species": ["Hf", "Tl", "Tl", "Tl", "Cr"], "frac_coords": [[0.000, 0.000, 0.000], [0.000, 0.000, 0.500], [0.000, 0.500, 0.000], [0.500, 0.000, 0.000], [0.500, 0.500, 0.500]], "total_energy_ev_per_atom": -3.823, "total_magnetization_mub_per_fu": 0.082, "density_g_cm3": 8.168}

# 19
{"formula": "RbTlFeB2", "functional": "PBE", "state": "optimized geometry", "lattice": [[4.207, 0.000, 0.000], [0.000, 4.207, 0.000], [0.000, 0.000, 5.509]], "species": ["Rb", "Tl", "Fe", "B", "B"], "frac_coords": [[0.000, 0.000, 0.000], [0.500, 0.500, 0.000], [0.000, 0.000, 0.500], [0.000, 0.500, 0.500], [0.500, 0.000, 0.500]], "total_energy_ev_per_atom": -3.723, "total_magnetization_mub_per_fu": 1.140, "density_g_cm3": 6.255}

# 20
{"formula": "Dy7Tl2N", "functional": "PBE", "state": "optimized geometry", "lattice": [[0.000, 5.182, 5.182], [5.182, 0.000, 5.182], [5.182, 5.182, 0.000]], "species": ["Dy", "Dy", "Dy", "Dy", "Dy", "Dy", "Dy", "Tl", "Tl", "N"], "frac_coords": [[0.000, 0.000, 0.000], [0.272, 0.272, 0.728], [0.272, 0.728, 0.272], [0.272, 0.728, 0.728], [0.728, 0.272, 0.272], [0.728, 0.272, 0.728], [0.728, 0.728, 0.272], [0.250, 0.250, 0.250], [0.750, 0.750, 0.750], [0.500, 0.500, 0.500]], "total_energy_ev_per_atom": -4.467, "raw_formation_energy_ev_per_atom": 0.06, "total_magnetization_mub_per_fu": 0.000, "density_g_cm3": 9.311}

# 21
{"formula": "Mg2UZnO6", "functional": "PBE", "state": "optimized geometry", "lattice": [[5.529, 0.000, 0.000], [0.000, 5.529, 0.000], [0.000, 0.000, 4.626]], "species": ["Mg", "Mg", "U", "Zn", "O", "O", "O", "O", "O", "O"], "frac_coords": [[0.000, 0.500, 0.000], [0.500, 0.000, 0.000], [0.000, 0.000, 0.683], [0.500, 0.500, 0.629], [0.000, 0.000, 0.227], [0.251, 0.251, 0.794], [0.251, 0.749, 0.794], [0.500, 0.500, 0.225], [0.749, 0.251, 0.794], [0.749, 0.749, 0.794]], "total_energy_ev_per_atom": -6.661, "raw_formation_energy_ev_per_atom": -2.11, "total_magnetization_mub_per_fu": 0.095, "density_g_cm3": 5.262}

# 22
{"formula": "Ag2Pb2S3", "functional": "PBE", "state": "optimized geometry", "lattice": [[13.076, 0.000, 0.000], [0.000, 4.066, 0.000], [-2.483, 0.000, 6.965]], "species": ["Ag", "Ag", "Ag", "Ag", "Pb", "Pb", "Pb", "Pb", "S", "S", "S", "S", "S", "S"], "frac_coords": [[0.164, 0.000, 0.388], [0.336, 0.500, 0.612], [0.664, 0.500, 0.388], [0.836, 0.000, 0.612], [0.130, 0.500, 0.777], [0.370, 0.000, 0.223], [0.630, 0.000, 0.777], [0.870, 0.500, 0.223], [0.000, 0.000, 0.500], [0.202, 0.500, 0.203], [0.298, 0.000, 0.797], [0.500, 0.500, 0.500], [0.702, 0.000, 0.203], [0.798, 0.500, 0.797]], "total_energy_ev_per_atom": -3.872, "raw_formation_energy_ev_per_atom": -0.23, "total_magnetization_mub_per_fu": 0.000, "density_g_cm3": 6.514}